# 1
This record from Alexandria describes Fe2MoRh at its PBEsol-relaxed geometry. The functional is meta-GGA SCAN.

Lattice parameters (Å, degrees): 3.682 3.682 3.568 90.00 90.00 90.00
Space group P4/mmm (No. 123)
One atom of each set of equivalent atoms:
Fe (0.000, 0.500, 0.000) [2 per cell]
Mo (0.000, 0.000, 0.500) [1 per cell]
Rh (0.500, 0.500, 0.500) [1 per cell]

Results
crystal system = tetragonal
E_form = 0.06 eV per atom
total magnetization = 2.8 μB per cell



# 2
This record from Alexandria describes FeMo3Rh at its PBEsol-relaxed geometry. The functional is meta-GGA SCAN.

Lattice parameters (Å, degrees): 4.329 4.329 4.329 90.00 90.00 90.00
Space group Pm-3m (No. 221)
One atom of each set of equivalent atoms:
Fe (0.000, 0.000, 0.000) [1 per cell]
Mo (0.000, 0.000, 0.500) [3 per cell]
Rh (0.500, 0.500, 0.500) [1 per cell]

Results
crystal system = cubic
E_form = 1.20 eV per atom
total magnetization = 0.0 μB per cell



# 3
This record from Alexandria describes Fe4MoRh at its PBEsol-relaxed geometry. The functional is meta-GGA SCAN.

Lattice parameters (Å, degrees): 6.536 6.536 6.536 90.00 90.00 90.00
Space group F-43m (No. 216)
One atom of each set of equivalent atoms:
Fe (0.124, 0.124, 0.376) [16 per cell]
Mo (0.000, 0.000, 0.000) [4 per cell]
Rh (0.250, 0.250, 0.750) [4 per cell]

Results
crystal system = cubic
E_form = 0.01 eV per atom
total magnetization = 29.6 μB per cell



# 4
This record from Alexandria describes Fe2MoRh at its PBEsol-relaxed geometry. The functional is meta-GGA SCAN.

Lattice parameters (Å, degrees): 2.834 4.234 4.330 90.00 90.00 90.00
Space group Pmmm (No. 47)
One atom of each set of equivalent atoms:
Fe (0.000, 0.000, 0.000) [1 per cell]
Fe (0.500, 0.000, 0.500) [1 per cell]
Mo (0.000, 0.500, 0.500) [1 per cell]
Rh (0.500, 0.500, 0.000) [1 per cell]

Results
crystal system = orthorhombic
E_form = 0.10 eV per atom
total magnetization = 6.0 μB per cell



# 5
This record from Alexandria describes FeTe2MoRh at its PBEsol-relaxed geometry. The functional is meta-GGA SCAN.

Lattice parameters (Å, degrees): 5.103 5.103 4.649 90.00 90.00 90.00
Space group P4/mmm (No. 123)
One atom of each set of equivalent atoms:
Fe (0.000, 0.000, 0.000) [1 per cell]
Te (0.000, 0.500, 0.500) [2 per cell]
Mo (0.500, 0.500, 0.000) [1 per cell]
Rh (0.500, 0.500, 0.500) [1 per cell]

Results
crystal system = tetragonal
total magnetization = 6.3 μB per cell
formation energy without anion corrections = 1182 meV per atom



# 6
This record from Alexandria describes Fe2MoRu at its PBEsol-relaxed geometry. The functional is meta-GGA SCAN.

Lattice parameters (Å, degrees): 3.666 3.666 3.599 90.00 90.00 90.00
Space group P4/mmm (No. 123)
One atom of each set of equivalent atoms:
Fe (0.000, 0.500, 0.000) [2 per cell]
Mo (0.000, 0.000, 0.500) [1 per cell]
Ru (0.500, 0.500, 0.500) [1 per cell]

Results
crystal system = tetragonal
E_form = 0.16 eV per atom
total magnetization = 3.5 μB per cell



# 7
This record from Alexandria describes FeMo2Ru at its PBEsol-relaxed geometry. The functional is meta-GGA SCAN.

Lattice parameters (Å, degrees): 3.796 3.796 7.539 90.00 90.00 90.00
Space group I4/mmm (No. 139)
One atom of each set of equivalent atoms:
Fe (0.000, 0.000, 0.000) [2 per cell]
Mo (0.000, 0.500, 0.250) [4 per cell]
Ru (0.000, 0.000, 0.500) [2 per cell]

Results
crystal system = tetragonal
excess energy over the best structure of this formula in the dataset = 0.000 eV per atom
E_form = 0.13 eV per atom
total magnetization = 3.3 μB per cell



# 8
This record from Alexandria describes FeMo2Ru at its PBEsol-relaxed geometry. The functional is meta-GGA SCAN.

Lattice parameters (Å, degrees): 5.384 7.484 2.701 90.00 90.00 90.00
Space group Cmmm (No. 65)
One atom of each set of equivalent atoms:
Fe (0.000, 0.000, 0.000) [2 per cell]
Mo (0.250, 0.250, 0.500) [4 per cell]
Ru (0.000, 0.500, 0.000) [2 per cell]

Results
crystal system = orthorhombic
excess energy over the best structure of this formula in the dataset = 0.029 eV per atom
E_form = 0.16 eV per atom
total magnetization = 3.6 μB per cell



Among the records above, which one has the highest total magnetization?
Fe4MoRh



Which value of total magnetization does entry 6 give?
3.5 μB per cell



What is the formula in the sixth record?
Fe2MoRu